A relaxed structure of ZnHgW2. Source: Alexandria via LeMat-Bulk, functional GGA-PBE.

Unit cell a=2.817 b=2.817 c=9.289 alpha=90.00 beta=90.00 gamma=110.07
Sites, in units of the cell vectors:
Hg: 0.500 0.500 0.748
W: 0.000 0.000 0.020
W: 0.500 0.500 0.249
Zn: 0.000 0.000 0.483

## Properties
The value obtained for the total magnetization is 0.00 μB/f.u. For the formation enthalpy at 0 K, the calculation gives 377 meV per atom. As for the symmetry: No. 35. The raw total energy comes out at -25.97 eV/f.u.